# ZrTl2WO6

A geometry-optimized ZrTl2WO6 structure (PBE+U, Alexandria via LeMat-Bulk).

a = 5.853 Å, b = 5.853 Å, c = 8.277 Å
α = 90.00°, β = 90.00°, γ = 90.00°
Fractional coordinates of all 20 atoms:
O  0.500  0.250  0.739
O  0.761  0.512  0.000
O  0.739  0.488  0.500
O  0.000  0.750  0.239
O  0.239  0.989  0.000
O  0.261  0.011  0.500
O  0.500  0.250  0.261
O  0.761  0.989  0.000
O  0.239  0.512  0.000
O  0.739  0.011  0.500
O  0.261  0.488  0.500
O  0.000  0.750  0.761
W  0.000  0.750  0.000
W  0.500  0.250  0.500
Zr  0.000  0.750  0.500
Zr  0.500  0.250  0.000
Tl  0.000  0.250  0.750
Tl  0.000  0.250  0.250
Tl  0.500  0.750  0.750
Tl  0.500  0.750  0.250

- Electronic total energy: -70.1 eV/f.u.
- Total magnetization: 0.0000 μB per atom